1.
First-principles (PBE-GGA) data for a geometry-optimized LiB3Ru structure, as listed in the Alexandria database.

Properties
Distance to the lowest polymorph of the same formula in eV/atom: 1.172

POSCAR file:
```
LiB3Ru
1.0
3.5104 0.0000 0.0000
0.0000 3.5104 0.0000
0.0000 0.0000 3.5104
Li B Ru
1 3 1
Direct
0.0000 0.0000 0.0000 Li
0.0000 0.0000 0.5000 B
0.0000 0.5000 0.0000 B
0.5000 0.0000 0.0000 B
0.5000 0.5000 0.5000 Ru
```

2.
First-principles (PBE-GGA) data for a geometry-optimized La3Pd12Pb structure, as listed in the Alexandria database.

POSCAR file:
```
La3Pd12Pb
1.0
4.2142 0.0000 0.0000
0.0000 4.2142 0.0000
0.0000 0.0000 16.7116
La Pd Pb
3 12 1
Direct
0.0000 0.0000 0.0000 La
0.0000 0.0000 0.2533 La
0.0000 0.0000 0.7467 La
0.0000 0.5000 0.1270 Pd
0.0000 0.5000 0.3813 Pd
0.0000 0.5000 0.6187 Pd
0.0000 0.5000 0.8730 Pd
0.5000 0.0000 0.1270 Pd
0.5000 0.0000 0.3813 Pd
0.5000 0.0000 0.6187 Pd
0.5000 0.0000 0.8730 Pd
0.5000 0.5000 0.0000 Pd
0.5000 0.5000 0.2559 Pd
0.5000 0.5000 0.5000 Pd
0.5000 0.5000 0.7441 Pd
0.0000 0.0000 0.5000 Pb
```

| no. | DFT total energy (eV per atom) | energy of formation from the pure elements (eV per atom) |
| --- | --- | --- |
| 1 | -4.482 | 1.762 |
| 2 | -5.718 | -0.668 |